Record 1
# KBiP2Pd4

KBiP2Pd4 after structural relaxation (PBE, Alexandria).

density	6.97	g/cm³
symmetry	P4/mmm (123)
DFT total energy	-39.6	eV/cell
D(E_F)	5.519	states/eV/cell

Lattice parameters (Å, degrees): 4.1082 4.1082 10.3918 90.00 90.00 90.00
Fractional coordinates of all 8 atoms:
1 Pd 0.0000 0.5000 0.1998
2 Pd 0.0000 0.5000 0.8002
3 Pd 0.5000 0.0000 0.8002
4 Pd 0.5000 0.0000 0.1998
5 P 0.5000 0.5000 0.6916
6 P 0.5000 0.5000 0.3084
7 Bi 0.0000 0.0000 0.0000
8 K 0.0000 0.0000 0.5000


Record 2
# KRb2BeRe

KRb2BeRe after structural relaxation (PBE, Alexandria).

density	2.33	g/cm³
symmetry	P4/mmm (123)
DFT total energy	-9.7	eV/cell
D(E_F)	8.971	states/eV/cell

Lattice parameters (Å, degrees): 6.7424 6.3514 6.7424 90.00 90.00 90.00
Site moments in Bohr magnetons follow the coordinates.
Fractional coordinates of all 5 atoms:
1 K 0.0000 0.5000 0.0000  0.01
2 Re 0.0000 0.0000 0.0000  2.72
3 Rb 0.5000 0.0000 0.0000  0.03
4 Rb 0.0000 0.0000 0.5000  0.02
5 Be 0.5000 0.5000 0.5000  0.01


Record 3
# HfGeO2

HfGeO2 after structural relaxation (PBE, Alexandria).

density	6.06	g/cm³
symmetry	I-42d (122)
DFT total energy	-63.5	eV/cell
D(E_F)	1.957	states/eV/cell
ΔE_f (raw)	-1.818	eV/atom

Lattice parameters (Å, degrees): 5.6592 5.6592 6.2860 63.25 63.25 90.00
Fractional coordinates of all 8 atoms:
1 O 0.8750 0.0207 0.7500
2 O 0.9793 0.6250 0.2500
3 O 0.3750 0.2293 0.7500
4 O 0.7707 0.1250 0.2500
5 Ge 0.2500 0.7500 0.5000
6 Ge 0.5000 0.5000 0.0000
7 Hf 0.7500 0.2500 0.5000
8 Hf 0.0000 0.0000 0.0000


Record 4
# BeAlIr2S

BeAlIr2S after structural relaxation (PBE, Alexandria).

density	10.30	g/cm³
symmetry	P4/mmm (123)
DFT total energy	-26.6	eV/cell
D(E_F)	4.914	states/eV/cell
ΔE_f (raw)	0.536	eV/atom

Lattice parameters (Å, degrees): 4.1913 4.1508 4.1913 90.00 90.00 90.00
Fractional coordinates of all 5 atoms:
1 Ir 0.0000 0.0000 0.5000
2 Ir 0.5000 0.0000 0.0000
3 Be 0.0000 0.0000 0.0000
4 Al 0.0000 0.5000 0.0000
5 S 0.5000 0.5000 0.5000


Record 5
# Nd2HoZnS5

Nd2HoZnS5 after structural relaxation (PBE, Alexandria).

density	5.74	g/cm³
symmetry	Cmc2_1 (36)
DFT total energy	-103.6	eV/cell
D(E_F)	1.627	states/eV/cell
ΔE_f (raw)	-1.751	eV/atom

Lattice parameters (Å, degrees): 3.8690 8.6948 11.9711 90.00 90.00 102.86
Fractional coordinates of all 18 atoms:
1 Zn 0.4541 0.9082 0.4463
2 Zn 0.5459 0.0918 0.9463
3 S 0.9600 0.9200 0.5518
4 S 0.6838 0.3676 0.8560
5 S 0.4933 0.9866 0.7719
6 S 0.7093 0.4186 0.1745
7 S 0.6441 0.2883 0.5044
8 S 0.3162 0.6324 0.3560
9 S 0.0400 0.0800 0.0518
10 S 0.5067 0.0134 0.2719
11 S 0.3559 0.7117 0.0044
12 S 0.2907 0.5814 0.6745
13 Ho 0.8022 0.6044 0.5160
14 Ho 0.1978 0.3956 0.0160
15 Nd 0.8853 0.7706 0.1840
16 Nd 0.8681 0.7362 0.8190
17 Nd 0.1147 0.2294 0.6840
18 Nd 0.1319 0.2638 0.3190


Record 6
# LaCoRu

LaCoRu after structural relaxation (PBE, Alexandria).

density	8.19	g/cm³
symmetry	F-43m (216)
DFT total energy	-18.6	eV/cell
D(E_F)	4.353	states/eV/cell

Lattice parameters (Å, degrees): 4.4089 4.4089 4.4089 60.00 60.00 60.00
Site moments in Bohr magnetons follow the coordinates.
Fractional coordinates of all 3 atoms:
1 La 0.7500 0.7500 0.7500  -0.13
2 Co 0.5000 0.5000 0.5000  1.17
3 Ru 0.0000 0.0000 0.0000  0.57


Record 7
# LaTcIr3

LaTcIr3 after structural relaxation (PBE, Alexandria).

density	11.96	g/cm³
symmetry	Pm-3m (221)
relative energy among the computed polymorphs	2012	meV per atom
DFT total energy	-29.3	eV/cell
D(E_F)	24.812	states/eV/cell

Lattice parameters (Å, degrees): 4.8344 4.8344 4.8344 90.00 90.00 90.00
Fractional coordinates of all 5 atoms:
1 Ir 0.0000 0.0000 0.5000
2 Ir 0.0000 0.5000 0.0000
3 Ir 0.5000 0.0000 0.0000
4 Tc 0.5000 0.5000 0.5000
5 La 0.0000 0.0000 0.0000


Record 8
# Ca2ScBr

Ca2ScBr after structural relaxation (PBE, Alexandria).

density	2.77	g/cm³
symmetry	R-3m (166)
relative energy among the computed polymorphs	0	meV per atom
DFT total energy	-14.3	eV/cell
D(E_F)	2.799	states/eV/cell
ΔE_f (raw)	-0.562	eV/atom

Lattice parameters (Å, degrees): 10.2606 10.2606 10.2606 21.12 21.12 21.12
Site moments in Bohr magnetons follow the coordinates.
Fractional coordinates of all 4 atoms:
1 Ca 0.0074 0.0074 0.0074  0.05
2 Ca 0.4926 0.4926 0.4926  0.05
3 Sc 0.2500 0.2500 0.2500  0.43
4 Br 0.7500 0.7500 0.7500  0.00